Run P
The following is a DFT calculation (GGA-PBE) of an optimized crystal structure of CuSn2Rh2.

Structure (POSCAR):
```
CuSn2Rh2
1.0
-4.8961 -1.4141 5.0881
1.4062 -7.0370 -0.6026
2.3930 0.2745 2.3790
Cu Rh Sn
2 4 4
Direct
0.5000 0.5000 0.0000 Cu
0.0000 0.0000 0.0000 Cu
0.3569 0.8569 0.0000 Rh
0.1431 0.3569 0.0000 Rh
0.6431 0.1431 0.0000 Rh
0.8569 0.6431 0.0000 Rh
0.8416 0.3416 0.5000 Sn
0.3416 0.1584 0.5000 Sn
0.1584 0.6584 0.5000 Sn
0.6584 0.8416 0.5000 Sn
```

Computed properties:
Space-group type: P4/mbm, No. 127
Theoretical density: 9.59 g cm⁻³

***

Run Q
The following is a DFT calculation (GGA-PBE) of an optimized crystal structure of CuSn2Rh2.

Structure (POSCAR):
```
CuSn2Rh2
1.0
7.5801 0.0000 0.0000
0.0000 7.5801 0.0000
0.0000 0.0000 3.0726
Sn Rh Cu
4 4 2
Direct
0.8433 0.6567 0.0000 Sn
0.6567 0.1567 0.0000 Sn
0.3433 0.8433 0.0000 Sn
0.1567 0.3433 0.0000 Sn
0.1408 0.6408 0.5000 Rh
0.3592 0.1408 0.5000 Rh
0.8592 0.3592 0.5000 Rh
0.6408 0.8592 0.5000 Rh
0.5000 0.5000 0.0000 Cu
0.0000 0.0000 0.0000 Cu
```

Computed properties:
Space-group type: P4/mbm, No. 127
Theoretical density: 9.53 g cm⁻³

***

run P is favored, and the nearest alternative lies 72 meV/atom above it.

***

Run P
The following is a DFT calculation (GGA-PBE) of an optimized crystal structure of TiCuSn2Rh.

Structure (POSCAR):
```
TiCuSn2Rh
1.0
-4.0242 0.1435 -3.2281
-1.4064 -3.9971 1.5755
-2.8042 2.4067 3.6027
Ti Sn Cu Rh
1 2 1 1
Direct
0.0000 0.0000 0.0000 Ti
0.0000 0.0000 0.5000 Sn
0.5000 0.0000 0.0000 Sn
0.0000 0.5000 0.0000 Cu
0.5000 0.5000 0.5000 Rh
```

Computed properties:
Space-group type: P4/mmm, No. 123
Theoretical density: 6.23 g cm⁻³

***

Run Q
The following is a DFT calculation (GGA-PBE) of an optimized crystal structure of TiCuSn2Rh.

Structure (POSCAR):
```
TiCuSn2Rh
1.0
4.7835 0.0000 0.0000
0.0000 4.6233 0.0000
0.0000 0.0000 4.7835
Ti Sn Rh Cu
1 2 1 1
Direct
0.0000 0.5000 0.0000 Ti
0.0000 0.0000 0.5000 Sn
0.5000 0.0000 0.0000 Sn
0.5000 0.5000 0.5000 Rh
0.0000 0.0000 0.0000 Cu
```

Computed properties:
Space-group type: P4/mmm, No. 123
Theoretical density: 7.09 g cm⁻³

***

run Q is favored, and the nearest alternative lies 367 meV/atom above it.

***

Run P
The following is a DFT calculation (GGA-PBE) of an optimized crystal structure of SrCu2Rh.

Structure (POSCAR):
```
SrCu2Rh
1.0
-2.2293 -3.5040 1.0379
3.0101 -3.0088 -3.6921
4.4859 -1.4264 4.8197
Sr Cu Rh
2 4 2
Direct
0.0000 0.1161 0.5000 Sr
0.5000 0.8839 0.0000 Sr
0.0000 0.6020 0.3065 Cu
0.5000 0.3980 0.1935 Cu
0.5000 0.3980 0.8065 Cu
0.0000 0.6020 0.6935 Cu
0.0000 0.3427 0.0000 Rh
0.5000 0.6573 0.5000 Rh
```

Computed properties:
Space-group type: Pmmn, No. 59
Theoretical density: 6.49 g cm⁻³

***

Run Q
The following is a DFT calculation (GGA-PBE) of an optimized crystal structure of SrCu2Rh.

Structure (POSCAR):
```
SrCu2Rh
1.0
5.0615 -0.0132 0.0000
1.6312 4.7915 0.0000
-3.3464 -2.3891 2.9518
Cu Rh Sr
2 1 1
Direct
0.2500 0.7500 0.5000 Cu
0.0000 0.0000 0.0000 Cu
0.5000 0.5000 0.0000 Rh
0.7500 0.2500 0.5000 Sr
```

Computed properties:
Space-group type: I-4m2, No. 119
Theoretical density: 7.36 g cm⁻³

***

Run R
The following is a DFT calculation (GGA-PBE) of an optimized crystal structure of SrCu2Rh.

Structure (POSCAR):
```
SrCu2Rh
1.0
-1.1355 -2.5754 1.8471
0.0270 -1.9707 -2.7312
6.0887 -1.7407 1.3161
Cu Rh Sr
2 1 1
Direct
0.0000 0.0000 0.0663 Cu
0.0000 0.0000 0.4337 Cu
0.5000 0.5000 0.2500 Rh
0.5000 0.5000 0.7500 Sr
```

Computed properties:
Space-group type: P4/mmm, No. 123
Theoretical density: 7.19 g cm⁻³

***

Run S
The following is a DFT calculation (GGA-PBE) of an optimized crystal structure of SrCu2Rh.

Structure (POSCAR):
```
SrCu2Rh
1.0
-2.2842 0.7135 -3.2365
0.4728 -3.1728 -1.0332
-4.3686 -2.9639 2.4297
Cu Sr Rh
2 1 1
Direct
0.0000 0.1503 0.0470 Cu
0.5000 0.0760 0.2860 Cu
0.5000 0.7649 0.7797 Sr
0.0000 0.5088 0.3874 Rh
```

Computed properties:
Space-group type: Pm, No. 6
Theoretical density: 6.90 g cm⁻³

***

run P is favored, and the nearest alternative lies 250 meV/atom above it.